Material: Pm6GaCu2
Method: DFT, PBE
State: relaxed Values from VASP.

## Properties
Energy of formation in eV per atom: -0.189
Calculated total energy in eV per cell: -82.85
Symmetry: No. 71
DOS(E_F) in states/eV/atom: 1.08
Total magnetization in Bohr magnetons per cell: 0.00

Structure (Quantum ESPRESSO input):
```
&SYSTEM
  ibrav = 0, nat = 18, ntyp = 3
/
ATOMIC_SPECIES
Pm 145.00 Pm.upf
Ga 69.72 Ga.upf
Cu 63.55 Cu.upf
ATOMIC_POSITIONS crystal
Pm 0.0490 0.2419 0.8072
Pm 0.1794 0.2731 0.4525
Pm 0.1794 0.7269 0.9064
Pm 0.3244 0.0262 0.7018
Pm 0.3244 0.6227 0.2982
Pm 0.4347 0.2419 0.1928
Pm 0.5653 0.7581 0.8072
Pm 0.6756 0.3773 0.7018
Pm 0.6756 0.9738 0.2982
Pm 0.8206 0.2731 0.0936
Pm 0.8206 0.7269 0.5475
Pm 0.9510 0.7581 0.1928
Ga 0.0000 0.0000 0.0000
Ga 0.5000 0.5000 0.0000
Cu 0.1197 0.6197 0.5000
Cu 0.3536 0.0000 0.3536
Cu 0.6464 0.0000 0.6464
Cu 0.8803 0.3803 0.5000
CELL_PARAMETERS angstrom
-4.8038 5.0511 5.1106
4.8038 -5.0511 5.1106
4.8038 5.0511 -5.1106
```

---

Material: KSr2Fe
Method: DFT, PBE
State: relaxed Values from VASP.

## Properties
Energy of formation in eV per atom: 0.616
Calculated total energy in eV per cell: -10.46
Symmetry: No. 71
DOS(E_F) in states/eV/atom: 1.05
Total magnetization in Bohr magnetons per cell: 2.57

Structure (Quantum ESPRESSO input):
```
&SYSTEM
  ibrav = 0, nat = 4, ntyp = 3
/
ATOMIC_SPECIES
K 39.10 K.upf
Sr 87.62 Sr.upf
Fe 55.84 Fe.upf
ATOMIC_POSITIONS crystal
K 0.0000 0.0000 0.0000
Sr 0.3142 0.8142 0.5000
Sr 0.6858 0.1858 0.5000
Fe 0.5000 0.5000 0.0000
CELL_PARAMETERS angstrom
-2.0472 3.3582 6.4054
2.0472 -3.3582 6.4054
2.0472 3.3582 -6.4054
```

---

Material: Ac7Ir3Rh
Method: DFT, PBE
State: relaxed Values from VASP.

## Properties
Energy of formation in eV per atom: -0.420
Calculated total energy in eV per cell: -67.32
Symmetry: No. 12
DOS(E_F) in states/eV/atom: 0.66
Total magnetization in Bohr magnetons per cell: 0.00

Structure (Quantum ESPRESSO input):
```
&SYSTEM
  ibrav = 0, nat = 11, ntyp = 3
/
ATOMIC_SPECIES
Ac 227.00 Ac.upf
Ir 192.22 Ir.upf
Rh 102.91 Rh.upf
ATOMIC_POSITIONS crystal
Ac 0.0000 0.0000 0.0000
Ac 0.1285 0.5508 0.2697
Ac 0.3302 0.3302 0.7519
Ac 0.4492 0.8715 0.7303
Ac 0.5508 0.1285 0.2697
Ac 0.6698 0.6698 0.2481
Ac 0.8715 0.4492 0.7303
Ir 0.2746 0.7254 0.0000
Ir 0.5000 0.5000 0.5000
Ir 0.7254 0.2746 0.0000
Rh 0.0000 0.0000 0.5000
CELL_PARAMETERS angstrom
4.7420 -5.7099 0.0000
4.7420 5.7099 0.0000
-2.7503 0.0000 6.8309
```

---

Material: CsSn4Sb2
Method: DFT, PBE
State: relaxed Values from VASP.

## Properties
Calculated total energy in eV per cell: -25.70
Symmetry: No. 2
DOS(E_F) in states/eV/atom: 0.37
Energy relative to the elements, uncorrected in eV per atom: -0.08
Total magnetization in Bohr magnetons per cell: 0.00

Structure (Quantum ESPRESSO input):
```
&SYSTEM
  ibrav = 0, nat = 7, ntyp = 3
/
ATOMIC_SPECIES
Cs 132.91 Cs.upf
Sn 118.71 Sn.upf
Sb 121.76 Sb.upf
ATOMIC_POSITIONS crystal
Cs 0.0000 0.0000 0.0000
Sn 0.2050 0.2908 0.2963
Sn 0.3172 0.8148 0.5502
Sn 0.6828 0.1852 0.4498
Sn 0.7950 0.7092 0.7037
Sb 0.4220 0.3564 0.8026
Sb 0.5780 0.6436 0.1974
CELL_PARAMETERS angstrom
4.2834 0.0000 0.0000
2.1366 3.9442 0.0000
2.1392 -0.1791 14.8322
```

---

Material: ScFeMo2
Method: DFT, PBE
State: relaxed Values from VASP.

## Properties
Energy of formation in eV per atom: 0.068
Calculated total energy in eV per cell: -36.18
Symmetry: No. 71
DOS(E_F) in states/eV/atom: 0.89
Total magnetization in Bohr magnetons per cell: 0.35

Structure (Quantum ESPRESSO input):
```
&SYSTEM
  ibrav = 0, nat = 4, ntyp = 3
/
ATOMIC_SPECIES
Sc 44.96 Sc.upf
Fe 55.84 Fe.upf
Mo 95.94 Mo.upf
ATOMIC_POSITIONS crystal
Sc 0.0000 0.0000 0.0000
Fe 0.5000 0.5000 0.0000
Mo 0.2632 0.7632 0.5000
Mo 0.7368 0.2368 0.5000
CELL_PARAMETERS angstrom
-1.5680 2.1737 4.5629
1.5680 -2.1737 4.5629
1.5680 2.1737 -4.5629
```

---

Material: NaGd2Ru
Method: DFT, PBE
State: relaxed Values from VASP.

## Properties
Energy of formation in eV per atom: -0.091
Calculated total energy in eV per cell: -39.12
Symmetry: No. 166
DOS(E_F) in states/eV/atom: 0.52
Total magnetization in Bohr magnetons per cell: 14.29

Structure (Quantum ESPRESSO input):
```
&SYSTEM
  ibrav = 0, nat = 4, ntyp = 3
/
ATOMIC_SPECIES
Na 22.99 Na.upf
Gd 157.25 Gd.upf
Ru 101.07 Ru.upf
ATOMIC_POSITIONS crystal
Na 0.0000 0.0000 0.0000
Gd 0.2204 0.2204 0.2204
Gd 0.7796 0.7796 0.7796
Ru 0.5000 0.5000 0.5000
CELL_PARAMETERS angstrom
1.9917 1.1499 9.2987
-1.9917 1.1499 9.2987
0.0000 -2.2999 9.2987
```